Version a
Compound: NdEr2Hg8
Source: Alexandria via LeMat-Bulk
Functional: PBE-GGA
Structure: optimized geometry

Lattice parameters (Å, degrees): 5.085 7.634 8.502 116.72 107.40 90.00
Sites, in units of the cell vectors:
1 Hg 0.000 0.702 0.000
2 Hg 0.000 0.298 0.000
3 Er 0.805 0.304 0.609
4 Hg 0.156 0.155 0.311
5 Hg 0.350 0.557 0.699
6 Hg 0.844 0.845 0.689
7 Hg 0.350 0.144 0.701
8 Hg 0.650 0.443 0.301
9 Hg 0.650 0.856 0.299
10 Er 0.195 0.696 0.391
11 Nd 0.500 0.000 0.000

Output
As for the magnetization: 0.00 μB/atom. As for the space-group type: No. 12. As for the density of states at the Fermi level: 6.05 states/eV/f.u.

Version b
Compound: NdEr2Hg8
Source: Alexandria via LeMat-Bulk
Functional: PBE-GGA
Structure: optimized geometry

Lattice parameters (Å, degrees): 4.943 7.270 8.397 107.78 107.12 90.00
Sites, in units of the cell vectors:
1 Er 0.784 0.345 0.567
2 Hg 0.851 0.804 0.702
3 Hg 0.967 0.271 0.933
4 Hg 0.149 0.196 0.298
5 Hg 0.033 0.729 0.067
6 Hg 0.599 0.465 0.198
7 Hg 0.401 0.535 0.802
8 Nd 0.500 0.000 0.000
9 Hg 0.679 0.907 0.357
10 Er 0.216 0.655 0.433
11 Hg 0.321 0.093 0.643

Output
As for the magnetization: 0.00 μB/atom. As for the space-group type: No. 12. As for the density of states at the Fermi level: 5.20 states/eV/f.u.

In terms of stability, version b leads; the second structure lies 1.5 kJ/mol of atoms higher.

Version a
Compound: NdErHg6
Source: Alexandria via LeMat-Bulk
Functional: PBE-GGA
Structure: optimized geometry

Lattice parameters (Å, degrees): 4.559 4.559 9.662 90.00 90.00 90.00
Sites, in units of the cell vectors:
1 Hg 0.500 0.000 0.256
2 Hg 0.500 0.000 0.744
3 Hg 0.000 0.500 0.744
4 Er 0.000 0.000 0.500
5 Hg 0.500 0.500 0.000
6 Nd 0.000 0.000 0.000
7 Hg 0.000 0.500 0.256
8 Hg 0.500 0.500 0.500

Output
As for the magnetization: 0.00 μB/atom. As for the space-group type: No. 123. As for the density of states at the Fermi level: 5.64 states/eV/f.u.

Version b
Compound: NdErHg6
Source: Alexandria via LeMat-Bulk
Functional: PBE-GGA
Structure: optimized geometry

Lattice parameters (Å, degrees): 5.034 6.702 6.702 119.54 90.00 90.00
Sites, in units of the cell vectors:
1 Hg 0.500 0.416 0.087
2 Hg 0.000 0.593 0.929
3 Hg 0.000 0.071 0.407
4 Nd 0.500 0.412 0.588
5 Er 0.000 0.088 0.912
6 Hg 0.000 0.585 0.415
7 Hg 0.500 0.921 0.079
8 Hg 0.500 0.913 0.584

Output
As for the magnetization: 0.00 μB/atom. As for the space-group type: No. 38. As for the density of states at the Fermi level: 5.54 states/eV/f.u.

In terms of stability, version b leads; the second structure lies 3.0 kJ/mol of atoms higher.

Version a
Compound: Nd3ErHg4
Source: Alexandria via LeMat-Bulk
Functional: PBE-GGA
Structure: optimized geometry

Lattice parameters (Å, degrees): 3.868 7.683 9.183 114.73 102.16 90.00
Sites, in units of the cell vectors:
1 Hg 0.372 0.578 0.743
2 Er 0.500 0.000 0.000
3 Nd 0.201 0.201 0.402
4 Hg 0.372 0.166 0.743
5 Nd 0.799 0.799 0.598
6 Nd 0.000 0.500 0.000
7 Hg 0.628 0.422 0.257
8 Hg 0.628 0.834 0.257

Output
As for the magnetization: 0.00 μB/atom. As for the space-group type: No. 71. As for the density of states at the Fermi level: 7.25 states/eV/f.u.

Version b
Compound: Nd3ErHg4
Source: Alexandria via LeMat-Bulk
Functional: PBE-GGA
Structure: optimized geometry

Lattice parameters (Å, degrees): 3.775 3.775 15.422 90.00 90.00 90.00
Last column: magnetic moment on the atom in μB.
Sites, in units of the cell vectors:
1 Hg 0.000 0.000 0.627  0.02
2 Hg 0.000 0.000 0.373  0.02
3 Nd 0.500 0.500 0.755  0.22
4 Hg 0.000 0.000 0.887  0.02
5 Nd 0.500 0.500 0.500  0.20
6 Er 0.500 0.500 0.000  0.11
7 Nd 0.500 0.500 0.245  0.22
8 Hg 0.000 0.000 0.113  0.02

Output
As for the magnetization: 0.19 μB/atom. As for the space-group type: No. 123. As for the density of states at the Fermi level: 8.74 states/eV/f.u.

In terms of stability, version b leads; the second structure lies 13.8 kJ/mol of atoms higher.

Version a
Compound: NdErHg
Source: Alexandria via LeMat-Bulk
Functional: PBE-GGA
Structure: optimized geometry

Lattice parameters (Å, degrees): 5.164 5.164 5.164 60.00 60.00 60.00
Sites, in units of the cell vectors:
1 Nd 0.500 0.500 0.500
2 Hg 0.250 0.250 0.250
3 Er 0.000 0.000 0.000

Output
As for the magnetization: 0.00 μB/atom. As for the space-group type: No. 216. As for the density of states at the Fermi level: 4.51 states/eV/f.u.

Version b
Compound: NdErHg
Source: Alexandria via LeMat-Bulk
Functional: PBE-GGA
Structure: optimized geometry

Lattice parameters (Å, degrees): 3.891 5.143 5.143 120.00 90.00 90.00
Sites, in units of the cell vectors:
1 Hg 0.162 0.000 0.000
2 Nd 0.668 0.667 0.333
3 Er 0.170 0.333 0.667

Output
As for the magnetization: 0.00 μB/atom. As for the space-group type: No. 156. As for the density of states at the Fermi level: 3.87 states/eV/f.u.

Version c
Compound: NdErHg
Source: Alexandria via LeMat-Bulk
Functional: PBE-GGA
Structure: optimized geometry

Lattice parameters (Å, degrees): 3.670 3.670 6.945 105.32 105.32 90.00
Last column: magnetic moment on the atom in μB.
Sites, in units of the cell vectors:
1 Hg 0.677 0.677 0.354  0.00
2 Er 0.315 0.315 0.630  0.26
3 Nd 0.008 0.008 0.016  0.16

Output
As for the magnetization: 0.23 μB/atom. As for the space-group type: No. 107. As for the density of states at the Fermi level: 3.54 states/eV/f.u.

In terms of stability, version c leads; the second structure lies 10.5 kJ/mol of atoms higher.

Version a
Compound: NdEr2Hg
Source: Alexandria via LeMat-Bulk
Functional: PBE-GGA
Structure: optimized geometry

Lattice parameters (Å, degrees): 3.618 3.618 8.902 90.00 90.00 90.00
Sites, in units of the cell vectors:
1 Er 0.000 0.000 0.216
2 Hg 0.500 0.500 0.000
3 Er 0.000 0.000 0.784
4 Nd 0.500 0.500 0.500

Output
As for the magnetization: 0.00 μB/atom. As for the space-group type: No. 123. As for the density of states at the Fermi level: 3.96 states/eV/f.u.

Version b
Compound: NdEr2Hg
Source: Alexandria via LeMat-Bulk
Functional: PBE-GGA
Structure: optimized geometry

Lattice parameters (Å, degrees): 3.616 3.616 10.770 80.34 80.34 60.00
Sites, in units of the cell vectors:
1 Nd 0.500 0.500 0.500
2 Er 0.741 0.741 0.776
3 Hg 0.000 0.000 0.000
4 Er 0.259 0.259 0.224

Output
As for the magnetization: 0.00 μB/atom. As for the space-group type: No. 166. As for the density of states at the Fermi level: 3.34 states/eV/f.u.

In terms of stability, version a leads; the second structure lies 6.2 kJ/mol of atoms higher.

Version a
Compound: NdErHg3
Source: Alexandria via LeMat-Bulk
Functional: PBE-GGA
Structure: optimized geometry

Lattice parameters (Å, degrees): 5.940 5.888 8.797 90.00 90.00 90.00
Sites, in units of the cell vectors:
1 Er 0.000 0.000 0.500
2 Hg 0.500 0.000 0.500
3 Hg 0.000 0.000 0.831
4 Hg 0.000 0.500 0.331
5 Er 0.000 0.500 0.000
6 Nd 0.500 0.500 0.500
7 Hg 0.500 0.500 0.000
8 Hg 0.000 0.500 0.669
9 Hg 0.000 0.000 0.169
10 Nd 0.500 0.000 0.000

Output
As for the magnetization: 0.00 μB/atom. As for the space-group type: No. 65. As for the density of states at the Fermi level: 3.71 states/eV/f.u.

Version b
Compound: NdErHg3
Source: Alexandria via LeMat-Bulk
Functional: PBE-GGA
Structure: optimized geometry

Lattice parameters (Å, degrees): 3.591 4.958 14.702 90.00 97.01 90.00
Last column: magnetic moment on the atom in μB.
Sites, in units of the cell vectors:
1 Hg 0.475 0.250 0.951  0.01
2 Nd 0.924 0.750 0.847  0.08
3 Hg 0.525 0.750 0.049  0.01
4 Er 0.211 0.750 0.421  0.01
5 Er 0.789 0.250 0.579  0.01
6 Hg 0.624 0.750 0.248  0.01
7 Hg 0.684 0.250 0.368  0.00
8 Hg 0.376 0.250 0.752  0.01
9 Hg 0.316 0.750 0.632  0.00
10 Nd 0.076 0.250 0.153  0.08

Output
As for the magnetization: 0.04 μB/atom. As for the space-group type: No. 63. As for the density of states at the Fermi level: 5.12 states/eV/f.u.

In terms of stability, version b leads; the second structure lies 27.5 kJ/mol of atoms higher.

Version a
Compound: NdEr2Hg4
Source: Alexandria via LeMat-Bulk
Functional: PBE-GGA
Structure: optimized geometry

Lattice parameters (Å, degrees): 4.946 4.946 9.409 74.76 74.76 60.00
Sites, in units of the cell vectors:
1 Er 0.875 0.875 0.374
2 Nd 0.000 0.000 0.000
3 Hg 0.604 0.604 0.189
4 Hg 0.396 0.396 0.811
5 Hg 0.755 0.755 0.735
6 Hg 0.245 0.245 0.265
7 Er 0.125 0.125 0.626

Output
As for the magnetization: 0.00 μB/atom. As for the space-group type: No. 166. As for the density of states at the Fermi level: 4.88 states/eV/f.u.

Version b
Compound: NdEr2Hg4
Source: Alexandria via LeMat-Bulk
Functional: PBE-GGA
Structure: optimized geometry

Lattice parameters (Å, degrees): 5.125 6.437 6.437 111.97 90.00 90.00
Sites, in units of the cell vectors:
1 Er 0.000 0.755 0.245
2 Er 0.000 0.245 0.755
3 Hg 0.500 0.500 0.000
4 Nd 0.500 0.500 0.500
5 Hg 0.000 0.776 0.776
6 Hg 0.000 0.224 0.224
7 Hg 0.500 0.000 0.500

Output
As for the magnetization: 0.00 μB/atom. As for the space-group type: No. 65. As for the density of states at the Fermi level: 4.28 states/eV/f.u.

In terms of stability, version b leads; the second structure lies 7.4 kJ/mol of atoms higher.

Version a
Compound: PmNdErHg
Source: Alexandria via LeMat-Bulk
Functional: PBE-GGA
Structure: optimized geometry

Lattice parameters (Å, degrees): 5.485 5.485 5.485 60.00 60.00 60.00
Sites, in units of the cell vectors:
1 Pm 0.750 0.750 0.750
2 Er 0.000 0.000 0.000
3 Hg 0.250 0.250 0.250
4 Nd 0.500 0.500 0.500

Output
As for the magnetization: 0.03 μB/atom. As for the space-group type: No. 216. As for the density of states at the Fermi level: 6.34 states/eV/f.u.

Version b
Compound: PmNdErHg
Source: Alexandria via LeMat-Bulk
Functional: PBE-GGA
Structure: optimized geometry

Lattice parameters (Å, degrees): 3.680 3.680 8.909 90.00 90.00 90.00
Sites, in units of the cell vectors:
1 Er 0.500 0.500 0.357
2 Pm 0.500 0.500 0.792
3 Hg 0.000 0.000 0.557
4 Nd 0.000 0.000 0.079

Output
As for the magnetization: 0.00 μB/atom. As for the space-group type: No. 99. As for the density of states at the Fermi level: 4.46 states/eV/f.u.

In terms of stability, version b leads; the second structure lies 19.5 kJ/mol of atoms higher.